Compound: LiPrYAl
Source: the Alexandria database
Functional: PBE
Structure: optimized geometry

For the calculated formation energy, the calculation gives -4.86 kcal/mol of atoms. The total energy is -4.436 eV/atom. The total magnetic moment comes out at 0.000 μB per formula unit.

The space group is F-43m (No. 216) and the conventional cell measures 7.441, 7.441 and 7.441 Å, with angles of 90.00, 90.00 and 90.00 degrees. The distinct sites, in fractional coordinates, are Li at (0.000, 0.000, 0.000), Pr at (0.250, 0.250, 0.750), Y at (0.250, 0.250, 0.250) and Al at (0.000, 0.000, 0.500).


Compound: LiPr2Al4Zn3
Source: the Alexandria database
Functional: PBE
Structure: optimized geometry

For the calculated formation energy, the calculation gives -8.40 kcal/mol of atoms. The total energy is -3.391 eV/atom. The total magnetic moment comes out at 0.000 μB per formula unit.

The space group is P-4m2 (No. 115) and the conventional cell measures 4.300, 4.300 and 10.785 Å, with angles of 90.00, 90.00 and 90.00 degrees. The distinct sites, in fractional coordinates, are Li at (0.000, 0.000, 0.000), Pr at (0.000, 0.500, 0.748), Al at (0.000, 0.000, 0.500), Al at (0.000, 0.500, 0.130), Al at (0.500, 0.500, 0.500), Zn at (0.000, 0.500, 0.362) and Zn at (0.500, 0.500, 0.000).


Compound: LiPr2AlZn6
Source: the Alexandria database
Functional: PBE
Structure: optimized geometry

For the calculated formation energy, the calculation gives -4.12 kcal/mol of atoms. The total energy is -2.465 eV/atom. The total magnetic moment comes out at 0.000 μB per formula unit.

The space group is P-1 (No. 2) and the conventional cell measures 6.319, 6.325 and 6.752 Å, with angles of 90.15, 117.75 and 119.87 degrees. The distinct sites, in fractional coordinates, are Li at (0.000, 0.000, 0.000), Pr at (0.415, 0.208, 0.623), Al at (0.000, 0.500, 0.500), Zn at (0.100, 0.341, 0.857), Zn at (0.104, 0.758, 0.861) and Zn at (0.484, 0.244, 0.142).


Compound: LiPr2Al3Zn4
Source: the Alexandria database
Functional: PBE
Structure: optimized geometry

For the calculated formation energy, the calculation gives -8.09 kcal/mol of atoms. The total energy is -3.130 eV/atom. The total magnetic moment comes out at 0.000 μB per formula unit.

The space group is P-4m2 (No. 115) and the conventional cell measures 4.383, 4.383 and 10.373 Å, with angles of 90.00, 90.00 and 90.00 degrees. The distinct sites, in fractional coordinates, are Li at (0.000, 0.000, 0.000), Pr at (0.000, 0.500, 0.744), Al at (0.000, 0.500, 0.366), Al at (0.500, 0.500, 0.000), Zn at (0.000, 0.000, 0.500), Zn at (0.000, 0.500, 0.126) and Zn at (0.500, 0.500, 0.500).


The N(E_F) results, record by record, are as follows: 17.28; 4.85; 5.14; 5.76 states/eV per cell.
The density results, record by record, are as follows: 4.252; 4.937; 5.964; 5.261 g/cm3.